(1)
# KCu2PbF6, relaxed, DFT PBE
# Energy: -4.310 eV/atom
data_KCu2PbF6
_cell_length_a 6.223
_cell_length_b 6.223
_cell_length_c 6.586
_cell_angle_alpha 61.80
_cell_angle_beta 61.80
_cell_angle_gamma 60.00
_symmetry_space_group_name_H-M 'P 1'
_symmetry_Int_Tables_number 1
loop_
_symmetry_equiv_pos_as_xyz
'x,y,z'
loop_
_atom_site_label
_atom_site_type_symbol
_atom_site_fract_x
_atom_site_fract_y
_atom_site_fract_z
K1 K 0.000 0.000 0.000
Cu1 Cu 0.748 0.748 0.756
Cu2 Cu 0.252 0.252 0.244
Pb1 Pb 0.500 0.500 0.500
F1 F 0.071 0.456 0.746
F2 F 0.727 0.071 0.746
F3 F 0.544 0.273 0.254
F4 F 0.929 0.544 0.254
F5 F 0.273 0.929 0.254
F6 F 0.456 0.727 0.746

(2)
# Na2YGaBr6, relaxed, DFT PBE
# Energy: -3.698 eV/atom
data_Na2YGaBr6
_cell_length_a 7.500
_cell_length_b 7.500
_cell_length_c 8.081
_cell_angle_alpha 62.33
_cell_angle_beta 62.33
_cell_angle_gamma 59.99
_symmetry_space_group_name_H-M 'P 1'
_symmetry_Int_Tables_number 1
loop_
_symmetry_equiv_pos_as_xyz
'x,y,z'
loop_
_atom_site_label
_atom_site_type_symbol
_atom_site_fract_x
_atom_site_fract_y
_atom_site_fract_z
Na1 Na 0.520 0.520 0.441
Na2 Na 0.008 0.008 0.976
Y1 Y 0.325 0.325 0.024
Ga1 Ga 0.813 0.813 0.561
Br1 Br 0.580 0.233 0.242
Br2 Br 0.233 0.945 0.242
Br3 Br 0.945 0.580 0.242
Br4 Br 0.400 0.713 0.762
Br5 Br 0.714 0.124 0.762
Br6 Br 0.124 0.400 0.762

(3)
# Pm2Nd6Er5, relaxed, DFT PBE
# Energy of formation from the pure elements: 0.102 eV/atom
# Energy: -4.585 eV/atom
data_Pm2Nd6Er5
_cell_length_a 3.641
_cell_length_b 11.804
_cell_length_c 20.510
_cell_angle_alpha 90.00
_cell_angle_beta 90.00
_cell_angle_gamma 90.00
_symmetry_space_group_name_H-M 'P 1'
_symmetry_Int_Tables_number 1
loop_
_symmetry_equiv_pos_as_xyz
'x,y,z'
loop_
_atom_site_label
_atom_site_type_symbol
_atom_site_fract_x
_atom_site_fract_y
_atom_site_fract_z
Pm1 Pm 0.000 0.334 0.286
Pm2 Pm 0.000 0.666 0.714
Pm3 Pm 0.000 0.834 0.214
Pm4 Pm 0.000 0.166 0.786
Nd1 Nd 0.000 0.081 0.366
Nd2 Nd 0.000 0.919 0.634
Nd3 Nd 0.000 0.581 0.134
Nd4 Nd 0.000 0.419 0.866
Nd5 Nd 0.500 0.324 0.129
Nd6 Nd 0.500 0.676 0.871
Nd7 Nd 0.500 0.824 0.371
Nd8 Nd 0.500 0.176 0.629
Nd9 Nd 0.000 0.558 0.422
Nd10 Nd 0.000 0.442 0.578
Nd11 Nd 0.000 0.058 0.078
Nd12 Nd 0.000 0.942 0.922
Er1 Er 0.500 0.300 0.445
Er2 Er 0.500 0.700 0.555
Er3 Er 0.500 0.800 0.055
Er4 Er 0.500 0.200 0.945
Er5 Er 0.500 0.594 0.276
Er6 Er 0.500 0.406 0.724
Er7 Er 0.500 0.094 0.224
Er8 Er 0.500 0.906 0.776
Er9 Er 0.500 0.500 0.000
Er10 Er 0.500 0.000 0.500

(4)
# Er4TmTh, relaxed, DFT PBE
# Distance to the lowest polymorph of the same formula: 75 meV/atom
# Energy of formation from the pure elements: 0.072 eV/atom
# Energy: -4.952 eV/atom
data_Er4TmTh
_cell_length_a 5.538
_cell_length_b 11.845
_cell_length_c 8.346
_cell_angle_alpha 123.66
_cell_angle_beta 90.00
_cell_angle_gamma 117.88
_symmetry_space_group_name_H-M 'P 1'
_symmetry_Int_Tables_number 1
loop_
_symmetry_equiv_pos_as_xyz
'x,y,z'
loop_
_atom_site_label
_atom_site_type_symbol
_atom_site_fract_x
_atom_site_fract_y
_atom_site_fract_z
Er1 Er 0.238 0.988 0.645
Er2 Er 0.978 0.728 0.125
Er3 Er 0.093 0.343 0.355
Er4 Er 0.353 0.603 0.875
Er5 Er 0.762 0.012 0.355
Er6 Er 0.907 0.657 0.645
Er7 Er 0.022 0.272 0.875
Er8 Er 0.647 0.397 0.125
Tm1 Tm 0.423 0.673 0.347
Tm2 Tm 0.577 0.327 0.653
Th1 Th 0.690 0.940 0.879
Th2 Th 0.310 0.060 0.121

(5)
# AcTb4Au5, relaxed, DFT PBE
# Energy of formation from the pure elements: -0.825 eV/atom
# Energy: -4.727 eV/atom
data_AcTb4Au5
_cell_length_a 3.649
_cell_length_b 3.649
_cell_length_c 18.601
_cell_angle_alpha 90.00
_cell_angle_beta 90.00
_cell_angle_gamma 90.00
_symmetry_space_group_name_H-M 'P 1'
_symmetry_Int_Tables_number 1
loop_
_symmetry_equiv_pos_as_xyz
'x,y,z'
loop_
_atom_site_label
_atom_site_type_symbol
_atom_site_fract_x
_atom_site_fract_y
_atom_site_fract_z
Ac1 Ac 0.000 0.000 0.000
Tb1 Tb 0.000 0.000 0.209
Tb2 Tb 0.000 0.000 0.403
Tb3 Tb 0.000 0.000 0.597
Tb4 Tb 0.000 0.000 0.791
Au1 Au 0.500 0.500 0.119
Au2 Au 0.500 0.500 0.306
Au3 Au 0.500 0.500 0.500
Au4 Au 0.500 0.500 0.694
Au5 Au 0.500 0.500 0.881

(6)
# Pa2FeSi4Pt3, relaxed, DFT PBE
# Energy: -7.627 eV/atom
data_Pa2FeSi4Pt3
_cell_length_a 4.169
_cell_length_b 4.169
_cell_length_c 9.722
_cell_angle_alpha 90.00
_cell_angle_beta 90.00
_cell_angle_gamma 90.00
_symmetry_space_group_name_H-M 'P 1'
_symmetry_Int_Tables_number 1
loop_
_symmetry_equiv_pos_as_xyz
'x,y,z'
loop_
_atom_site_label
_atom_site_type_symbol
_atom_site_fract_x
_atom_site_fract_y
_atom_site_fract_z
Pa1 Pa 0.500 0.000 0.260
Pa2 Pa 0.000 0.500 0.740
Fe1 Fe 0.500 0.500 0.500
Si1 Si 0.500 0.500 0.000
Si2 Si 0.000 0.000 0.000
Si3 Si 0.500 0.000 0.628
Si4 Si 0.000 0.500 0.372
Pt1 Pt 0.000 0.000 0.500
Pt2 Pt 0.500 0.000 0.874
Pt3 Pt 0.000 0.500 0.126

Question: The lowest energy belongs to which entry?
Answer: Pa2FeSi4Pt3

Repeat the first record exactly.
# KCu2PbF6, relaxed, DFT PBE
# Energy: -4.310 eV/atom
data_KCu2PbF6
_cell_length_a 6.223
_cell_length_b 6.223
_cell_length_c 6.586
_cell_angle_alpha 61.80
_cell_angle_beta 61.80
_cell_angle_gamma 60.00
_symmetry_space_group_name_H-M 'P 1'
_symmetry_Int_Tables_number 1
loop_
_symmetry_equiv_pos_as_xyz
'x,y,z'
loop_
_atom_site_label
_atom_site_type_symbol
_atom_site_fract_x
_atom_site_fract_y
_atom_site_fract_z
K1 K 0.000 0.000 0.000
Cu1 Cu 0.748 0.748 0.756
Cu2 Cu 0.252 0.252 0.244
Pb1 Pb 0.500 0.500 0.500
F1 F 0.071 0.456 0.746
F2 F 0.727 0.071 0.746
F3 F 0.544 0.273 0.254
F4 F 0.929 0.544 0.254
F5 F 0.273 0.929 0.254
F6 F 0.456 0.727 0.746

What did the second record say?
# Na2YGaBr6, relaxed, DFT PBE
# Energy: -3.698 eV/atom
data_Na2YGaBr6
_cell_length_a 7.500
_cell_length_b 7.500
_cell_length_c 8.081
_cell_angle_alpha 62.33
_cell_angle_beta 62.33
_cell_angle_gamma 59.99
_symmetry_space_group_name_H-M 'P 1'
_symmetry_Int_Tables_number 1
loop_
_symmetry_equiv_pos_as_xyz
'x,y,z'
loop_
_atom_site_label
_atom_site_type_symbol
_atom_site_fract_x
_atom_site_fract_y
_atom_site_fract_z
Na1 Na 0.520 0.520 0.441
Na2 Na 0.008 0.008 0.976
Y1 Y 0.325 0.325 0.024
Ga1 Ga 0.813 0.813 0.561
Br1 Br 0.580 0.233 0.242
Br2 Br 0.233 0.945 0.242
Br3 Br 0.945 0.580 0.242
Br4 Br 0.400 0.713 0.762
Br5 Br 0.714 0.124 0.762
Br6 Br 0.124 0.400 0.762